VASP calculation (PBE) on crystalline Sm2ScAg3Se6 at its relaxed geometry.

Lattice parameters (Å, degrees): 16.227 4.188 9.588 90.00 104.36 90.00
Space group C2/m (No. 12)
Unique sites:
Sm 0.158 0.000 0.311
Sc 0.000 0.500 0.000
Ag 0.000 0.500 0.500
Ag 0.165 0.000 0.735
Se 0.021 0.000 0.820
Se 0.158 0.500 0.536
Se 0.172 0.500 0.113

Output
- Uncorrected formation energy: -1124 meV/atom
- Raw total energy: -0.180 hartree per atom